[1]
DFT (PBE-GGA) results for Dy4AsPtS2 after structural relaxation.

Cell lengths 6.9444, 3.9776, 7.0527 Å; angles 90.00, 109.00, 90.00 degrees
With the nearest neighbours (Å) after each atom.
Element x y z (fractional)
Dy  0.2452  0.0000  0.2497  3 S 2.82-2.86, 2 Pt 2.83, 1 As 2.87
Dy  0.2474  0.5000  0.7460  3 S 2.82-2.84, 1 Pt 2.86, 2 As 2.86
Dy  0.7526  0.5000  0.2540  3 S 2.82-2.84, 1 Pt 2.86, 2 As 2.86
Dy  0.7548  0.0000  0.7503  3 S 2.82-2.86, 2 Pt 2.83, 1 As 2.87
As  0.5000  0.0000  0.0000  6 Dy 2.86-2.87
Pt  0.0000  0.5000  0.0000  6 Dy 2.83-2.86
S  0.0000  0.0000  0.5000  6 Dy 2.82
S  0.5000  0.5000  0.5000  6 Dy 2.84-2.86

Output
Calculated volume   184.2 Å³/f.u.
Formation energy from raw total energies   -1.64 eV per atom
Mass density   8.9 g/cm3

[2]
DFT (PBE-GGA) results for LaP3Ru3 after structural relaxation.

Cell lengths 7.9809, 7.9809, 7.9809 Å; angles 49.72, 49.72, 49.72 degrees
With the nearest neighbours (Å) after each atom.
Element x y z (fractional)
La  0.1669  0.1669  0.1669  6 P 3.05-3.06, 6 Ru 3.38-3.41
La  0.8331  0.8331  0.8331  6 P 3.05-3.06, 6 Ru 3.38-3.41
P  0.0862  0.7231  0.4002  4 Ru 2.29-2.37
P  0.2769  0.5998  0.9138  4 Ru 2.29-2.37
P  0.4002  0.0862  0.7231  4 Ru 2.29-2.37
P  0.5998  0.9138  0.2769  4 Ru 2.29-2.37
P  0.7231  0.4002  0.0862  4 Ru 2.29-2.37
P  0.9138  0.2769  0.5998  4 Ru 2.29-2.37
Ru  0.0319  0.3799  0.7179  4 P 2.29-2.37
Ru  0.2821  0.9681  0.6201  4 P 2.29-2.37
Ru  0.3799  0.7179  0.0319  4 P 2.29-2.37
Ru  0.6201  0.2821  0.9681  4 P 2.29-2.37
Ru  0.7179  0.0319  0.3799  4 P 2.29-2.37
Ru  0.9681  0.6201  0.2821  4 P 2.29-2.37

Output
Calculated volume   136.1 Å³/f.u.
Formation enthalpy at 0 K   -0.722 eV per atom
Mass density   6.5 g/cm3

[3]
DFT (PBE-GGA) results for CuGeTe2 after structural relaxation.

Cell lengths 7.3928, 7.3928, 7.3928 Å; angles 31.02, 31.02, 31.02 degrees
With the nearest neighbours (Å) after each atom.
Element x y z (fractional)
Cu  0.0000  0.0000  0.0000  6 Te 2.71-2.81
Ge  0.8337  0.8337  0.8337  6 Te 2.95-3.08
Te  0.4024  0.4024  0.4024  3 Cu 2.71
Te  0.5892  0.5892  0.5892  3 Cu 2.81, 3 Ge 2.95

Output
Calculated volume   95.2 Å³/f.u.
Formation energy from raw total energies   0.05 eV per atom
Mass density   6.8 g/cm3

[4]
DFT (PBE-GGA) results for Sr2BTe after structural relaxation.

Cell lengths 5.5010, 5.5010, 5.5010 Å; angles 60.00, 60.00, 60.00 degrees
With the nearest neighbours (Å) after each atom.
Element x y z (fractional)
Sr  0.2500  0.2500  0.2500  4 Te 3.37, 4 B 3.37
Sr  0.7500  0.7500  0.7500  4 Te 3.37, 4 B 3.37
B  0.0000  0.0000  0.0000  8 Sr 3.37
Te  0.5000  0.5000  0.5000  8 Sr 3.37

Output
Excess energy over the best structure of this formula in the dataset   40.0 meV per atom
Calculated volume   117.7 Å³/f.u.
Formation energy from raw total energies   0.01 eV per atom
Mass density   4.4 g/cm3

[5]
DFT (PBE-GGA) results for Cs2CoOs2 after structural relaxation.

Cell lengths 10.6759, 10.6759, 3.0052 Å; angles 90.00, 90.00, 90.00 degrees
With the nearest neighbours (Å) after each atom.
Element x y z (fractional)
Cs  0.2028  0.2972  0.0000  2 Cs 3.01
Cs  0.2972  0.7972  0.0000  2 Cs 3.01
Cs  0.7028  0.2028  0.0000  2 Cs 3.01
Cs  0.7972  0.7028  0.0000  2 Cs 3.01
Co  0.0000  0.0000  0.0000  2 Co 3.01
Co  0.5000  0.5000  0.0000  2 Co 3.01
Os  0.0725  0.5725  0.5000  1 Os 2.19
Os  0.4275  0.0725  0.5000  1 Os 2.19
Os  0.5725  0.9275  0.5000  1 Os 2.19
Os  0.9275  0.4275  0.5000  1 Os 2.19

Output
Calculated volume   171.3 Å³/f.u.
Formation enthalpy at 0 K   2.038 eV per atom
Mass density   6.8 g/cm3

[6]
DFT (PBE-GGA) results for Ti2ZnHPt after structural relaxation.

Cell lengths 3.9141, 3.9141, 4.1346 Å; angles 90.00, 90.00, 90.00 degrees
With the nearest neighbours (Å) after each atom.
Element x y z (fractional)
Ti  0.0000  0.5000  0.0000  2 H 1.96
Ti  0.5000  0.0000  0.0000  2 H 1.96
Zn  0.0000  0.0000  0.5000  2 H 2.07
H  0.0000  0.0000  0.0000  4 Ti 1.96, 2 Zn 2.07
Pt  0.5000  0.5000  0.5000  4 Zn 2.77, 8 Ti 2.85

Output
Excess energy over the best structure of this formula in the dataset   0.0 meV per atom
Calculated volume   63.3 Å³/f.u.
Mass density   9.4 g/cm3

[7]
DFT (PBE-GGA) results for NbIrCI after structural relaxation.

Cell lengths 3.2906, 4.3329, 6.8686 Å; angles 75.52, 76.24, 67.70 degrees
With the nearest neighbours (Å) after each atom.
Element x y z (fractional)
Nb  0.0000  0.0000  0.0000  2 C 2.17
Ir  0.7908  0.6126  0.8053  2 C 2.01
C  0.3852  0.3368  0.8928  2 Ir 2.01, 2 Nb 2.17
I  0.7933  0.9924  0.4177  1 Ir 2.76, 1 Nb 2.78

Output
Excess energy over the best structure of this formula in the dataset   145.0 meV per atom
Calculated volume   86.6 Å³/f.u.
Formation energy from raw total energies   0.36 eV per atom
Mass density   8.1 g/cm3

[8]
DFT (PBE-GGA) results for Ca2YW after structural relaxation.

Cell lengths 3.1454, 3.1454, 11.0337 Å; angles 90.00, 90.00, 97.86 degrees
With the nearest neighbours (Å) after each atom.
Element x y z (fractional)
Ca  0.0000  0.0000  0.2111  4 W 3.11-3.32, 4 Ca 3.15
Ca  0.0000  0.0000  0.7889  4 W 3.11-3.32, 4 Ca 3.15
Y  0.5000  0.5000  0.5000  4 Y 3.15
W  0.5000  0.5000  0.0000  8 Ca 3.11-3.32, 4 W 3.15

Output
Excess energy over the best structure of this formula in the dataset   148.5 meV per atom
Calculated volume   108.1 Å³/f.u.
Formation enthalpy at 0 K   0.746 eV per atom
Mass density   5.4 g/cm3